# Sb2MoRhI, single point on PBEsol structure, DFT meta-GGA SCAN
# - DFT total energy (eV/atom) = -35.04
# - ΔE_f (raw) (eV/atom) = 0.943
data_Sb2MoRhI
_symmetry_space_group_name_H-M 'P 4/m m m'
_symmetry_Int_Tables_number 123
_symmetry_space_group_name_Hall '-P 4 2'
_cell_length_a 5.000
_cell_length_b 5.000
_cell_length_c 5.357
_cell_angle_alpha 90.00
_cell_angle_beta 90.00
_cell_angle_gamma 90.00
loop_
_atom_site_label
_atom_site_type_symbol
_atom_site_fract_x
_atom_site_fract_y
_atom_site_fract_z
Sb1 Sb 0.000 0.500 0.000
Mo1 Mo 0.000 0.000 0.500
Rh1 Rh 0.500 0.500 0.000
I1 I 0.500 0.500 0.500